(1)
Computed, not measured: an optimized crystal structure of ReOsPd2 at the PBE-GGA level of DFT.

It has space group Fm-3m (No. 225), with a = 6.219 Å, b = 6.219 Å, c = 6.219 Å, α = 90.00°, β = 90.00° and γ = 90.00°. The distinct sites, in fractional coordinates, are Re at (0.000, 0.000, 0.000), Os at (0.000, 0.000, 0.500) and Pd at (0.250, 0.250, 0.250).

The formation energy is 684.6 meV per atom. As for the calculated volume: 15.0 Å³ per atom. For the spin magnetization, the calculation gives 0.000 μB/f.u.

(2)
Computed, not measured: an optimized crystal structure of ReOsPd3 at the PBE-GGA level of DFT.

It has space group Pm-3m (No. 221), with a = 4.761 Å, b = 4.761 Å, c = 4.761 Å, α = 90.00°, β = 90.00° and γ = 90.00°. The distinct sites, in fractional coordinates, are Re at (0.000, 0.000, 0.000), Os at (0.500, 0.500, 0.500) and Pd at (0.000, 0.500, 0.500).

The formation energy is 2061.2 meV per atom. As for the calculated volume: 21.6 Å³ per atom. For the spin magnetization, the calculation gives 4.048 μB/f.u.

(3)
Computed, not measured: an optimized crystal structure of ReOsPd3 at the PBE-GGA level of DFT.

It has space group Pm-3m (No. 221), with a = 4.725 Å, b = 4.725 Å, c = 4.725 Å, α = 90.00°, β = 90.00° and γ = 90.00°. The distinct sites, in fractional coordinates, are Re at (0.000, 0.000, 0.000), Os at (0.500, 0.500, 0.500) and Pd at (0.000, 0.000, 0.500).

The formation energy is 2052.2 meV per atom. As for the calculated volume: 21.1 Å³ per atom. For the spin magnetization, the calculation gives 2.348 μB/f.u.

(4)
Computed, not measured: an optimized crystal structure of Re2OsPd at the PBE-GGA level of DFT.

It has space group I-42d (No. 122), with a = 7.119 Å, b = 7.119 Å, c = 5.304 Å, α = 90.00°, β = 90.00° and γ = 90.00°. The distinct sites, in fractional coordinates, are Re at (0.217, 0.250, 0.125), Os at (0.000, 0.000, 0.000) and Pd at (0.000, 0.000, 0.500).

The formation energy is 840.5 meV per atom. As for the calculated volume: 16.8 Å³ per atom. For the spin magnetization, the calculation gives 0.000 μB/f.u.

(5)
Computed, not measured: an optimized crystal structure of Re2OsPd at the PBE-GGA level of DFT.

It has space group Fm-3m (No. 225), with a = 6.224 Å, b = 6.224 Å, c = 6.224 Å, α = 90.00°, β = 90.00° and γ = 90.00°. The distinct sites, in fractional coordinates, are Re at (0.250, 0.250, 0.250), Os at (0.000, 0.000, 0.000) and Pd at (0.000, 0.000, 0.500).

The formation energy is 573.3 meV per atom. As for the calculated volume: 15.1 Å³ per atom. For the spin magnetization, the calculation gives 0.000 μB/f.u.

(6)
Computed, not measured: an optimized crystal structure of Re2OsPd2 at the PBE-GGA level of DFT.

It has space group P4/mbm (No. 127), with a = 7.437 Å, b = 7.437 Å, c = 2.777 Å, α = 90.00°, β = 90.00° and γ = 90.00°. The distinct sites, in fractional coordinates, are Re at (0.176, 0.324, 0.000), Os at (0.000, 0.000, 0.500) and Pd at (0.123, 0.623, 0.500).

The formation energy is 708.5 meV per atom. As for the calculated volume: 15.4 Å³ per atom. For the spin magnetization, the calculation gives 0.000 μB/f.u.

(7)
Computed, not measured: an optimized crystal structure of ScRe2OsPd at the PBE-GGA level of DFT.

It has space group P4/mmm (No. 123), with a = 4.581 Å, b = 4.581 Å, c = 4.455 Å, α = 90.00°, β = 90.00° and γ = 90.00°. The distinct sites, in fractional coordinates, are Sc at (0.000, 0.000, 0.000), Re at (0.000, 0.500, 0.000), Os at (0.500, 0.500, 0.500) and Pd at (0.000, 0.000, 0.500).

The formation energy is 2330.2 meV per atom. As for the calculated volume: 18.7 Å³ per atom. For the spin magnetization, the calculation gives 2.328 μB/f.u.

(8)
Computed, not measured: an optimized crystal structure of Sr2ReOsPd at the PBE-GGA level of DFT.

It has space group P4/mmm (No. 123), with a = 5.648 Å, b = 5.648 Å, c = 4.754 Å, α = 90.00°, β = 90.00° and γ = 90.00°. The distinct sites, in fractional coordinates, are Sr at (0.000, 0.500, 0.000), Re at (0.000, 0.000, 0.500), Os at (0.500, 0.500, 0.500) and Pd at (0.500, 0.500, 0.000).

The formation energy is 1567.1 meV per atom. As for the calculated volume: 30.3 Å³ per atom. For the spin magnetization, the calculation gives 3.957 μB/f.u.

(9)
Computed, not measured: an optimized crystal structure of OsPdRh at the PBE-GGA level of DFT.

It has space group I4mm (No. 107), with a = 2.736 Å, b = 2.736 Å, c = 11.715 Å, α = 90.00°, β = 90.00° and γ = 90.00°. The distinct sites, in fractional coordinates, are Os at (0.000, 0.000, 0.000), Pd at (0.000, 0.000, 0.331) and Rh at (0.000, 0.000, 0.653).

The formation energy is 135.2 meV per atom. As for the calculated volume: 14.6 Å³ per atom. For the spin magnetization, the calculation gives 0.000 μB/f.u.

(10)
Computed, not measured: an optimized crystal structure of Os2PdRh at the PBE-GGA level of DFT.

It has space group Fm-3m (No. 225), with a = 6.184 Å, b = 6.184 Å, c = 6.184 Å, α = 90.00°, β = 90.00° and γ = 90.00°. The distinct sites, in fractional coordinates, are Os at (0.250, 0.250, 0.250), Pd at (0.000, 0.000, 0.000) and Rh at (0.000, 0.000, 0.500).

The formation energy is 704.8 meV per atom. As for the calculated volume: 14.8 Å³ per atom. For the spin magnetization, the calculation gives 0.000 μB/f.u.

(11)
Computed, not measured: an optimized crystal structure of Os3PdRh at the PBE-GGA level of DFT.

It has space group Pm-3m (No. 221), with a = 4.642 Å, b = 4.642 Å, c = 4.642 Å, α = 90.00°, β = 90.00° and γ = 90.00°. The distinct sites, in fractional coordinates, are Os at (0.000, 0.000, 0.500), Pd at (0.500, 0.500, 0.500) and Rh at (0.000, 0.000, 0.000).

The formation energy is 2490.5 meV per atom. As for the calculated volume: 20.0 Å³ per atom. For the spin magnetization, the calculation gives 1.968 μB/f.u.

(12)
Computed, not measured: an optimized crystal structure of OsPdRh3 at the PBE-GGA level of DFT.

It has space group Pm-3m (No. 221), with a = 4.664 Å, b = 4.664 Å, c = 4.664 Å, α = 90.00°, β = 90.00° and γ = 90.00°. The distinct sites, in fractional coordinates, are Os at (0.000, 0.000, 0.000), Pd at (0.500, 0.500, 0.500) and Rh at (0.000, 0.000, 0.500).

The formation energy is 1368.4 meV per atom. As for the calculated volume: 20.3 Å³ per atom. For the spin magnetization, the calculation gives 0.000 μB/f.u.